[1]
The following is a DFT calculation (PBEsol) of a relaxed Ir2RhSe crystal.

Geometry as POSCAR:
```
Ir2RhSe
1.0
3.8785 0.0000 0.0000
0.0000 1.4065 5.3762
0.0000 -1.4065 5.3762
Ir Rh Se
2 1 1
Cartesian
0.0000 0.0000 0.0000
1.9393 0.0000 4.1728
0.0000 0.0000 8.0567
1.9393 0.0000 1.6578
```

Output
The calculated total energy is -30.59 eV/cell. As for the density: 16.0 Mg/m³. The calculation puts the raw formation energy at 0.262 eV/atom. For the magnetic moment, the calculation gives 0.00 μB/f.u.

[2]
The following is a DFT calculation (PBEsol) of a relaxed Li8Zr7FeP12O48 crystal.

Geometry as POSCAR:
```
Li8Zr7FeP12O48
1.0
8.8271 0.0000 0.0000
-0.0030 8.9177 0.0000
-0.0260 -0.0928 12.4558
Li Zr Fe P O
8 7 1 12 48
Cartesian
0.0000 0.0000 0.0000
0.0077 0.4343 4.7295
0.5921 4.5187 10.9213
0.6285 4.9699 6.4702
4.3386 -0.0531 10.8822
4.4027 0.4583 6.4303
5.0592 4.9010 4.7040
5.0902 4.5194 0.1439
0.2664 2.0527 7.2997
0.3409 2.8569 1.0034
0.3387 6.5387 3.8307
4.6969 2.0782 3.8123
4.7041 7.3339 1.0210
4.7351 2.7979 10.0330
4.7465 6.5473 7.2944
0.2696 7.2185 10.0507
1.5719 1.4975 10.5205
1.5908 7.7943 6.8644
2.0770 0.2468 2.4119
2.9484 4.7051 2.4145
3.3955 5.9625 10.5208
3.4071 3.3660 6.7905
6.0206 1.6041 0.5525
6.0077 7.8134 4.3021
6.5500 0.1444 8.7292
7.3460 4.6635 8.6638
7.8599 6.0542 0.5766
7.8735 3.3452 4.2982
1.0220 0.1357 10.8851
1.0181 2.6190 11.4549
1.0341 0.2903 6.4562
1.0559 6.7656 5.8122
1.1450 8.4501 3.4236
1.1779 0.9608 1.3787
1.1711 7.3686 8.2369
1.1858 1.9070 9.0721
1.8709 3.3984 6.6661
1.8958 5.8615 10.6377
2.0902 3.6919 1.6512
2.0876 5.7139 3.1802
2.9243 1.2621 3.1896
2.9473 8.1485 1.6716
3.1246 1.5162 10.6207
3.1409 7.8633 6.7005
3.8083 3.0145 8.2312
3.8612 5.4260 1.3965
3.8650 3.9904 3.4367
3.8631 6.3391 9.0910
3.9894 2.2788 5.8553
3.9823 4.7548 6.4067
3.9823 7.0513 11.4672
4.0644 4.5930 10.8854
5.4152 0.2251 0.1805
5.4283 0.2840 4.6871
5.4347 6.7290 5.2468
5.4377 2.5961 12.0544
5.5535 0.9258 9.6485
5.6064 7.4546 2.8656
5.6208 1.9902 1.9836
5.6231 8.4022 7.6469
6.3125 6.0197 0.4592
6.3352 3.4031 4.4118
6.4386 3.6179 9.3482
6.4679 5.6429 7.8590
7.3303 8.0789 9.5344
7.4144 1.1686 7.9468
7.5532 1.5363 0.4236
7.5433 7.8651 4.4368
8.2261 6.3240 2.0600
8.2255 5.3292 9.6933
8.2383 3.9263 7.6113
8.2960 2.9826 2.8663
8.3830 4.6253 0.2201
8.4195 2.2519 5.2523
8.4612 4.7257 4.6957
8.4503 7.0171 12.1408
```

Output
The calculated total energy is -606.53 eV/cell. As for the density: 3.2 Mg/m³. The calculation puts the raw formation energy at -2.589 eV/atom. For the magnetic moment, the calculation gives 5.65 μB/f.u.

Which value of calculated total energy does entry 2 give? -606.53 eV/cell

Look up the calculated total energy of the first one. -30.59 eV/cell

What did the second record say?
The following is a DFT calculation (PBEsol) of a relaxed Li8Zr7FeP12O48 crystal.

Geometry as POSCAR:
```
Li8Zr7FeP12O48
1.0
8.8271 0.0000 0.0000
-0.0030 8.9177 0.0000
-0.0260 -0.0928 12.4558
Li Zr Fe P O
8 7 1 12 48
Cartesian
0.0000 0.0000 0.0000
0.0077 0.4343 4.7295
0.5921 4.5187 10.9213
0.6285 4.9699 6.4702
4.3386 -0.0531 10.8822
4.4027 0.4583 6.4303
5.0592 4.9010 4.7040
5.0902 4.5194 0.1439
0.2664 2.0527 7.2997
0.3409 2.8569 1.0034
0.3387 6.5387 3.8307
4.6969 2.0782 3.8123
4.7041 7.3339 1.0210
4.7351 2.7979 10.0330
4.7465 6.5473 7.2944
0.2696 7.2185 10.0507
1.5719 1.4975 10.5205
1.5908 7.7943 6.8644
2.0770 0.2468 2.4119
2.9484 4.7051 2.4145
3.3955 5.9625 10.5208
3.4071 3.3660 6.7905
6.0206 1.6041 0.5525
6.0077 7.8134 4.3021
6.5500 0.1444 8.7292
7.3460 4.6635 8.6638
7.8599 6.0542 0.5766
7.8735 3.3452 4.2982
1.0220 0.1357 10.8851
1.0181 2.6190 11.4549
1.0341 0.2903 6.4562
1.0559 6.7656 5.8122
1.1450 8.4501 3.4236
1.1779 0.9608 1.3787
1.1711 7.3686 8.2369
1.1858 1.9070 9.0721
1.8709 3.3984 6.6661
1.8958 5.8615 10.6377
2.0902 3.6919 1.6512
2.0876 5.7139 3.1802
2.9243 1.2621 3.1896
2.9473 8.1485 1.6716
3.1246 1.5162 10.6207
3.1409 7.8633 6.7005
3.8083 3.0145 8.2312
3.8612 5.4260 1.3965
3.8650 3.9904 3.4367
3.8631 6.3391 9.0910
3.9894 2.2788 5.8553
3.9823 4.7548 6.4067
3.9823 7.0513 11.4672
4.0644 4.5930 10.8854
5.4152 0.2251 0.1805
5.4283 0.2840 4.6871
5.4347 6.7290 5.2468
5.4377 2.5961 12.0544
5.5535 0.9258 9.6485
5.6064 7.4546 2.8656
5.6208 1.9902 1.9836
5.6231 8.4022 7.6469
6.3125 6.0197 0.4592
6.3352 3.4031 4.4118
6.4386 3.6179 9.3482
6.4679 5.6429 7.8590
7.3303 8.0789 9.5344
7.4144 1.1686 7.9468
7.5532 1.5363 0.4236
7.5433 7.8651 4.4368
8.2261 6.3240 2.0600
8.2255 5.3292 9.6933
8.2383 3.9263 7.6113
8.2960 2.9826 2.8663
8.3830 4.6253 0.2201
8.4195 2.2519 5.2523
8.4612 4.7257 4.6957
8.4503 7.0171 12.1408
```

Output
The calculated total energy is -606.53 eV/cell. As for the density: 3.2 Mg/m³. The calculation puts the raw formation energy at -2.589 eV/atom. For the magnetic moment, the calculation gives 5.65 μB/f.u.

Number 1 is which compound? Ir2RhSe